#A
8
Lattice="3.7387 0.0000 0.0000 0.0000 3.7387 0.0000 0.0000 0.0000 14.9497" Properties=species:S:1:pos:R:3 comment="Ho4In3Hg (PBE, optimized geometry)" m_tot_mub_per_atom=0.00 pbc="T T T"
Ho 0.0000 0.0000 1.8082
Ho 0.0000 0.0000 5.5890
Ho 0.0000 0.0000 9.3608
Ho 0.0000 0.0000 13.1416
In 1.8693 1.8693 3.7011
In 1.8693 1.8693 7.4749
In 1.8693 1.8693 11.2486
Hg 1.8693 1.8693 0.0000

***

#B
8
Lattice="3.7845 0.0000 0.0000 0.0000 4.7680 0.0000 0.0000 0.0000 11.9347" Properties=species:S:1:pos:R:3 comment="Ho4In3Hg (PBE, optimized geometry)" m_tot_mub_per_atom=0.00 pbc="T T T"
Ho 0.0000 0.0000 0.0000
Ho 0.0000 2.3840 3.6290
Ho 1.8923 0.0000 5.8984
Ho 1.8923 2.3840 9.6583
In 0.0000 0.0000 8.7356
In 0.0000 2.3840 6.8313
In 1.8923 2.3840 0.8907
Hg 1.8923 0.0000 2.8084

***

#A ends up most stable, edging out the next structure by 0.033 eV/atom.